1.
{
  "formula": "Na3LiV",
  "functional": "PBE",
  "state": "optimized geometry",
  "formation_enthalpy_0k_mev_per_atom": 897,
  "de_polymorph_mev_per_atom": 0.0,
  "spacegroup": "Pm-3m, No. 221",
  "lattice_angstrom": [[-2.484, -3.862, 2.717], [-0.504, -2.836, -4.492], [4.695, -2.348, 0.956]],
  "species": ["Na", "Na", "Na", "V", "Li"],
  "frac_coords": [[0.000, 0.500, 0.000], [0.000, 0.000, 0.500], [0.500, 0.000, 0.000], [0.500, 0.500, 0.500], [0.000, 0.000, 0.000]]
}


2.
{
  "formula": "AcPmPrZn",
  "functional": "PBE",
  "state": "optimized geometry",
  "formation_enthalpy_0k_mev_per_atom": -137,
  "de_polymorph_mev_per_atom": 0.0,
  "spacegroup": "P4mm, No. 99",
  "lattice_angstrom": [[3.767, 0.000, 0.000], [0.000, 3.767, 0.000], [0.000, 0.000, 9.049]],
  "species": ["Ac", "Pm", "Pr", "Zn"],
  "frac_coords": [[0.000, 0.000, 0.075], [0.500, 0.500, 0.375], [0.500, 0.500, 0.769], [0.000, 0.000, 0.566]]
}


3.
{
  "formula": "Be2CdOs",
  "functional": "PBE",
  "state": "optimized geometry",
  "formation_enthalpy_0k_mev_per_atom": 629,
  "spacegroup": "F-43m, No. 216",
  "lattice_angstrom": [[-0.366, -4.075, 1.115], [2.089, -1.467, 3.387], [-2.130, -1.054, 3.512]],
  "species": ["Be", "Be", "Os", "Cd"],
  "frac_coords": [[0.000, 0.000, 0.000], [0.750, 0.750, 0.750], [0.250, 0.250, 0.250], [0.500, 0.500, 0.500]]
}


4.
{
  "formula": "InNi2H2",
  "functional": "PBE",
  "state": "optimized geometry",
  "de_polymorph_mev_per_atom": 404.8,
  "spacegroup": "P4/mbm, No. 127",
  "lattice_angstrom": [[-3.345, 2.638, -4.516], [4.372, -1.530, -4.133], [-1.246, -2.348, -0.449]],
  "species": ["Ni", "Ni", "Ni", "Ni", "H", "H", "H", "H", "In", "In"],
  "frac_coords": [[0.137, 0.637, 0.500], [0.637, 0.863, 0.500], [0.863, 0.363, 0.500], [0.363, 0.137, 0.500], [0.434, 0.934, 0.000], [0.934, 0.566, 0.000], [0.566, 0.066, 0.000], [0.066, 0.434, 0.000], [0.000, 0.000, 0.000], [0.500, 0.500, 0.000]]
}


5.
{
  "formula": "La5Te4Os",
  "functional": "PBE",
  "state": "optimized geometry",
  "formation_energy_uncorrected_ev_per_atom": -1.290,
  "spacegroup": "I4/m, No. 87",
  "lattice_angstrom": [[5.879, 0.000, 2.836], [2.939, 7.149, 1.418], [-0.166, 0.000, 7.857]],
  "species": ["La", "La", "La", "La", "La", "Te", "Te", "Te", "Te", "Os"],
  "frac_coords": [[0.910, 0.350, 0.831], [0.261, 0.831, 0.650], [0.741, 0.169, 0.350], [0.092, 0.650, 0.169], [0.501, 0.000, 0.000], [0.412, 0.397, 0.781], [0.809, 0.781, 0.603], [0.193, 0.219, 0.397], [0.590, 0.603, 0.219], [0.001, 0.000, 0.000]]
}


6.
{
  "formula": "Mg2AsPt",
  "functional": "PBE",
  "state": "optimized geometry",
  "formation_enthalpy_0k_mev_per_atom": -573,
  "spacegroup": "Pmm2, No. 25",
  "lattice_angstrom": [[4.628, 0.000, 0.000], [0.000, 3.063, -0.099], [0.000, 0.158, 4.832]],
  "species": ["As", "Mg", "Mg", "Pt"],
  "frac_coords": [[0.500, 0.625, 0.808], [0.000, 0.125, 0.931], [0.500, 0.125, 0.327], [0.000, 0.625, 0.434]]
}


7.
{
  "formula": "BaLiAcSi",
  "functional": "PBE",
  "state": "optimized geometry",
  "formation_energy_uncorrected_ev_per_atom": -0.136,
  "spacegroup": "F-43m, No. 216",
  "lattice_angstrom": [[5.627, 0.000, 0.000], [2.814, 4.873, 0.000], [2.814, 1.624, 4.595]],
  "species": ["Ac", "Si", "Ba", "Li"],
  "frac_coords": [[0.000, 0.000, 0.000], [0.750, 0.750, 0.750], [0.500, 0.500, 0.500], [0.250, 0.250, 0.250]]
}


8.
{
  "formula": "Ta2TiAsSe",
  "functional": "PBE",
  "state": "optimized geometry",
  "formation_energy_uncorrected_ev_per_atom": 0.769,
  "spacegroup": "P4/mmm, No. 123",
  "lattice_angstrom": [[-4.518, 0.987, -1.102], [-1.433, -3.034, 3.155], [-0.050, 3.438, 3.283]],
  "species": ["As", "Ti", "Se", "Ta", "Ta"],
  "frac_coords": [[0.500, 0.500, 0.500], [0.000, 0.500, 0.000], [0.000, 0.000, 0.000], [0.000, 0.000, 0.500], [0.500, 0.000, 0.000]]
}


9.
{
  "formula": "TbDyCd3",
  "functional": "PBE",
  "state": "optimized geometry",
  "formation_enthalpy_0k_mev_per_atom": -292,
  "de_polymorph_mev_per_atom": 0.0,
  "spacegroup": "Cmcm, No. 63",
  "lattice_angstrom": [[-2.513, -0.488, -2.337], [2.111, -4.277, -1.377], [-6.752, -6.965, 11.287]],
  "species": ["Tb", "Tb", "Dy", "Dy", "Cd", "Cd", "Cd", "Cd", "Cd", "Cd"],
  "frac_coords": [[0.925, 0.750, 0.851], [0.075, 0.250, 0.149], [0.215, 0.750, 0.431], [0.785, 0.250, 0.569], [0.621, 0.750, 0.242], [0.379, 0.250, 0.758], [0.524, 0.750, 0.047], [0.476, 0.250, 0.953], [0.675, 0.250, 0.350], [0.325, 0.750, 0.650]]
}


10.
{
  "formula": "Tm4Mg5",
  "functional": "PBE",
  "state": "optimized geometry",
  "formation_enthalpy_0k_mev_per_atom": 29,
  "spacegroup": "P6_3/mcm, No. 193",
  "lattice_angstrom": [[-0.648, -3.733, -5.200], [7.897, 3.396, -3.423], [0.149, -7.524, 5.384]],
  "species": ["Tm", "Tm", "Tm", "Tm", "Tm", "Tm", "Tm", "Tm", "Mg", "Mg", "Mg", "Mg", "Mg", "Mg", "Mg", "Mg", "Mg", "Mg"],
  "frac_coords": [[0.000, 0.000, 0.000], [0.500, 0.000, 0.000], [0.750, 0.339, 0.339], [0.750, 0.000, 0.661], [0.750, 0.661, 0.000], [0.250, 0.661, 0.661], [0.250, 0.000, 0.339], [0.250, 0.339, 0.000], [0.750, 0.671, 0.671], [0.750, 0.000, 0.329], [0.750, 0.329, 0.000], [0.250, 0.329, 0.329], [0.250, 0.000, 0.671], [0.250, 0.671, 0.000], [0.000, 0.667, 0.333], [0.500, 0.333, 0.667], [0.000, 0.333, 0.667], [0.500, 0.667, 0.333]]
}


11.
{
  "formula": "Fe2NiCl",
  "functional": "PBE",
  "state": "optimized geometry",
  "de_polymorph_mev_per_atom": 338.2,
  "formation_energy_uncorrected_ev_per_atom": 0.467,
  "spacegroup": "Imm2, No. 44",
  "lattice_angstrom": [[5.020, 0.007, -0.001], [2.372, 4.425, 0.001], [-3.135, -3.151, 2.333]],
  "species": ["Ni", "Fe", "Fe", "Cl"],
  "frac_coords": [[0.491, 0.491, 0.000], [0.016, 0.016, 0.000], [0.749, 0.249, 0.500], [0.244, 0.744, 0.500]]
}


12.
{
  "formula": "MnNiHgS2",
  "functional": "PBE",
  "state": "optimized geometry",
  "formation_energy_uncorrected_ev_per_atom": 1.381,
  "spacegroup": "P4/mmm, No. 123",
  "lattice_angstrom": [[-4.471, 1.341, 1.816], [1.126, -2.166, 4.374], [1.956, 4.313, 1.632]],
  "species": ["Ni", "S", "S", "Mn", "Hg"],
  "frac_coords": [[0.500, 0.500, 0.500], [0.000, 0.000, 0.500], [0.500, 0.000, 0.000], [0.000, 0.500, 0.000], [0.000, 0.000, 0.000]]
}


13.
{
  "formula": "Dy6SeS5",
  "functional": "PBE",
  "state": "optimized geometry",
  "formation_energy_uncorrected_ev_per_atom": -1.953,
  "spacegroup": "C2/m, No. 12",
  "lattice_angstrom": [[6.704, -0.114, -1.264], [-3.630, 5.637, -1.264], [0.130, 0.233, 6.809]],
  "species": ["S", "S", "S", "S", "S", "Se", "Dy", "Dy", "Dy", "Dy", "Dy", "Dy"],
  "frac_coords": [[0.838, 0.162, 0.500], [0.667, 0.333, 0.000], [0.500, 0.500, 0.500], [0.333, 0.667, 0.000], [0.162, 0.838, 0.500], [0.000, 0.000, 0.000], [0.430, 0.087, 0.264], [0.913, 0.570, 0.736], [0.256, 0.256, 0.739], [0.744, 0.744, 0.261], [0.087, 0.430, 0.264], [0.570, 0.913, 0.736]]
}


no.,final energy (eV/atom)
1,-2.101
2,-3.865
3,-4.270
4,-3.859
5,-6.133
6,-4.043
7,-3.478
8,-7.178
9,-2.688
10,-2.844
11,-5.671
12,-3.320
13,-6.264